Below is a relaxed structure of KFeW2F, with properties calculated at the PBE+U level.

The structure in POSCAR format:
```
KFeW2F
1.0
4.901 0.000 0.000
0.000 4.901 0.000
0.000 0.000 6.971
K Fe W F
1 1 2 1
direct
0.000 0.000 0.000 K
0.000 0.000 0.500 Fe
0.000 0.500 0.500 W
0.500 0.000 0.500 W
0.500 0.500 0.000 F
```

final energy = -3.4294 eV per atom
volume = 33.483 A^3/atom
density of states at the Fermi level = 1.7 states/eV/f.u.